Density functional theory data (PBE-GGA) for an optimized crystal structure of Tl5InS5.

Values from the calculation:
DOS at the Fermi energy in states/eV per atom: 0.20
Formation energy from raw total energies in kJ/mol of formula units: -298
Raw total energy in eV per atom: -3.48

Lattice parameters (Å, degrees): 6.9689 6.9689 8.4491 102.44 102.44 52.56
With the nearest neighbours (Å) after each atom.
Atoms (fractional coordinates):
Tl1 0.0000 0.0000 0.0000  4 S 3.01-3.07
Tl2 0.3223 0.3223 0.6307  3 S 2.70-2.80
Tl3 0.3438 0.3438 0.1603  4 S 3.05-3.14
Tl4 0.6562 0.6562 0.8397  4 S 3.05-3.14
Tl5 0.6777 0.6777 0.3693  3 S 2.70-2.80
In1 0.0000 0.0000 0.5000  4 S 2.57-2.66
S1 0.1492 0.1492 0.7690  1 In 2.57, 1 Tl 2.70
S2 0.1585 0.1585 0.3389  1 In 2.66, 1 Tl 2.80
S3 0.5000 0.5000 0.5000  2 Tl 2.71
S4 0.8415 0.8415 0.6611  1 In 2.66, 1 Tl 2.80
S5 0.8508 0.8508 0.2310  1 In 2.57, 1 Tl 2.70